# 1
Material: Zr2CuRe
Method: DFT, PBE-GGA
State: optimized geometry

a = 2.8365 Å, b = 2.8365 Å, c = 8.8700 Å
α = 90.00°, β = 90.00°, γ = 90.00°
Sites, in units of the cell vectors:
Zr (0.0000, 0.0000, 0.0000)
Zr (0.5000, 0.5000, 0.3112)
Cu (0.0000, 0.0000, 0.5465)
Re (0.5000, 0.5000, 0.7408)

M_tot in μB per atom: 0.000
Space-group type: P4mm, No. 99
Crystal system: tetragonal
DFT total energy in eV/atom: -8.1882



# 2
Material: Tm6Hg5Ir
Method: DFT, PBE-GGA
State: optimized geometry

a = 8.8377 Å, b = 8.8377 Å, c = 5.0794 Å
α = 106.65°, β = 106.65°, γ = 49.26°
Sites, in units of the cell vectors:
Tm (0.0780, 0.6095, 0.3437)
Tm (0.2258, 0.7742, 0.0000)
Tm (0.3905, 0.9220, 0.6563)
Tm (0.6095, 0.0780, 0.3437)
Tm (0.7742, 0.2258, 0.0000)
Tm (0.9220, 0.3905, 0.6563)
Hg (0.1831, 0.1831, 0.1831)
Hg (0.3352, 0.3352, 0.8352)
Hg (0.5000, 0.5000, 0.5000)
Hg (0.6648, 0.6648, 0.1648)
Hg (0.8169, 0.8169, 0.8169)
Ir (0.0000, 0.0000, 0.5000)

M_tot in μB per atom: 0.000
Space-group type: C2/m, No. 12
Crystal system: monoclinic
DFT total energy in eV/atom: -3.6742



# 3
Material: GaNi
Method: DFT, PBE-GGA
State: optimized geometry

a = 5.3758 Å, b = 5.3758 Å, c = 5.3758 Å
α = 90.00°, β = 90.00°, γ = 90.00°
Sites, in units of the cell vectors:
Ga (0.0000, 0.0000, 0.0000)
Ga (0.0000, 0.5000, 0.5000)
Ga (0.5000, 0.0000, 0.5000)
Ga (0.5000, 0.5000, 0.0000)
Ni (0.2500, 0.2500, 0.2500)
Ni (0.2500, 0.7500, 0.7500)
Ni (0.7500, 0.2500, 0.7500)
Ni (0.7500, 0.7500, 0.2500)

M_tot in μB per atom: 0.000
Space-group type: F-43m, No. 216
Crystal system: cubic
DFT total energy in eV/atom: -4.0124



# 4
Material: SmGa7Tc2
Method: DFT, PBE-GGA
State: optimized geometry

a = 6.8977 Å, b = 6.8977 Å, c = 4.7581 Å
α = 90.00°, β = 90.00°, γ = 100.28°
Sites, in units of the cell vectors:
Sm (0.0000, 0.0000, 0.0000)
Ga (0.1007, 0.3554, 0.5000)
Ga (0.2984, 0.7016, 0.0000)
Ga (0.3554, 0.1007, 0.5000)
Ga (0.5000, 0.5000, 0.5000)
Ga (0.6446, 0.8993, 0.5000)
Ga (0.7016, 0.2984, 0.0000)
Ga (0.8993, 0.6446, 0.5000)
Tc (0.2655, 0.7345, 0.5000)
Tc (0.7345, 0.2655, 0.5000)

M_tot in μB per atom: 0.000
Space-group type: Cmmm, No. 65
Crystal system: orthorhombic
DFT total energy in eV/atom: -4.7583



# 5
Material: LiPmZrPt
Method: DFT, PBE-GGA
State: optimized geometry

a = 6.9528 Å, b = 6.9528 Å, c = 6.9528 Å
α = 90.00°, β = 90.00°, γ = 90.00°
Sites, in units of the cell vectors:
Li (0.0000, 0.0000, 0.0000)
Li (0.0000, 0.5000, 0.5000)
Li (0.5000, 0.0000, 0.5000)
Li (0.5000, 0.5000, 0.0000)
Pm (0.2500, 0.2500, 0.2500)
Pm (0.2500, 0.7500, 0.7500)
Pm (0.7500, 0.2500, 0.7500)
Pm (0.7500, 0.7500, 0.2500)
Zr (0.2500, 0.2500, 0.7500)
Zr (0.2500, 0.7500, 0.2500)
Zr (0.7500, 0.2500, 0.2500)
Zr (0.7500, 0.7500, 0.7500)
Pt (0.0000, 0.0000, 0.5000)
Pt (0.0000, 0.5000, 0.0000)
Pt (0.5000, 0.0000, 0.0000)
Pt (0.5000, 0.5000, 0.5000)

M_tot in μB per atom: 0.000
Space-group type: F-43m, No. 216
Crystal system: cubic
DFT total energy in eV/atom: -5.7041



# 6
Material: TcNiP2Se
Method: DFT, PBE-GGA
State: optimized geometry

a = 6.3124 Å, b = 3.6051 Å, c = 7.3513 Å
α = 90.00°, β = 103.27°, γ = 90.00°
Sites, in units of the cell vectors:
Tc (0.0000, 0.0000, 0.0000)
Tc (0.5000, 0.5000, 0.0000)
Ni (0.2600, 0.0000, 0.7105)
Ni (0.7600, 0.5000, 0.7105)
P (0.1247, 0.5000, 0.8297)
P (0.2133, 0.5000, 0.1740)
P (0.6247, 0.0000, 0.8297)
P (0.7133, 0.0000, 0.1740)
Se (0.1394, 0.5000, 0.4785)
Se (0.6394, 0.0000, 0.4785)

M_tot in μB per atom: 0.000
Space-group type: Cm, No. 8
Formation energy from raw total energies in kJ per mole of atoms: -17.1
Crystal system: monoclinic
DFT total energy in eV/atom: -6.2672



# 7
Material: Ba2SrCdRh
Method: DFT, PBE-GGA
State: optimized geometry

a = 6.0307 Å, b = 6.0307 Å, c = 5.8448 Å
α = 90.00°, β = 90.00°, γ = 90.00°
Sites, in units of the cell vectors:
Ba (0.0000, 0.5000, 0.0000)
Ba (0.5000, 0.0000, 0.0000)
Sr (0.0000, 0.0000, 0.5000)
Cd (0.5000, 0.5000, 0.5000)
Rh (0.0000, 0.0000, 0.0000)

M_tot in μB per atom: 0.000
Space-group type: P4/mmm, No. 123
Crystal system: tetragonal
DFT total energy in eV/atom: -2.9233



# 8
Material: Tb4Tl5Hg
Method: DFT, PBE-GGA
State: optimized geometry

a = 9.1426 Å, b = 9.1426 Å, c = 6.5223 Å
α = 108.81°, β = 108.81°, γ = 32.18°
Sites, in units of the cell vectors:
Tb (0.0851, 0.0851, 0.3381)
Tb (0.3025, 0.3025, 0.8826)
Tb (0.6975, 0.6975, 0.1174)
Tb (0.9149, 0.9149, 0.6619)
Tl (0.1074, 0.1074, 0.8502)
Tl (0.2959, 0.2959, 0.3864)
Tl (0.5000, 0.5000, 0.5000)
Tl (0.7041, 0.7041, 0.6136)
Tl (0.8926, 0.8926, 0.1498)
Hg (0.5000, 0.5000, 0.0000)

M_tot in μB per atom: 0.000
Space-group type: C2/m, No. 12
Crystal system: monoclinic
DFT total energy in eV/atom: -3.3818



# 9
Material: K14CdAu
Method: DFT, PBE-GGA
State: optimized geometry

a = 12.6393 Å, b = 9.0011 Å, c = 9.0011 Å
α = 75.17°, β = 90.00°, γ = 90.00°
Sites, in units of the cell vectors:
K (0.0000, 0.0000, 0.0000)
K (0.0000, 0.4626, 0.4626)
K (0.0000, 0.5230, 0.9349)
K (0.0000, 0.9349, 0.5230)
K (0.2367, 0.2441, 0.2441)
K (0.3081, 0.6295, 0.6295)
K (0.3243, 0.1183, 0.7367)
K (0.3243, 0.7367, 0.1183)
K (0.5000, 0.4057, 0.9796)
K (0.5000, 0.9796, 0.4057)
K (0.6757, 0.1183, 0.7367)
K (0.6757, 0.7367, 0.1183)
K (0.6919, 0.6295, 0.6295)
K (0.7633, 0.2441, 0.2441)
Cd (0.5000, 0.4089, 0.4089)
Au (0.5000, 0.8036, 0.8036)

M_tot in μB per atom: 0.000
Space-group type: Amm2, No. 38
Crystal system: orthorhombic
DFT total energy in eV/atom: -1.2507



# 10
Material: Pb2WBr
Method: DFT, PBE-GGA
State: optimized geometry

a = 3.7351 Å, b = 4.8565 Å, c = 11.4662 Å
α = 90.00°, β = 90.00°, γ = 90.00°
Sites, in units of the cell vectors:
Pb (0.0000, 0.0000, 0.2081)
Pb (0.0000, 0.0000, 0.7919)
Pb (0.5000, 0.5000, 0.2081)
Pb (0.5000, 0.5000, 0.7919)
W (0.0000, 0.5000, 0.0000)
W (0.5000, 0.0000, 0.0000)
Br (0.0000, 0.5000, 0.5000)
Br (0.5000, 0.0000, 0.5000)

M_tot in μB per atom: 0.000
Space-group type: Cmmm, No. 65
Formation energy from raw total energies in kJ per mole of atoms: 56.9
Crystal system: orthorhombic
DFT total energy in eV/atom: -4.9207



# 11
Material: TbSmHoIn
Method: DFT, PBE-GGA
State: optimized geometry

a = 4.8548 Å, b = 4.8795 Å, c = 4.8888 Å
α = 90.00°, β = 90.00°, γ = 90.00°
Sites, in units of the cell vectors:
Tb (0.0000, 0.0000, 0.0000)
Sm (0.5000, 0.5000, 0.0000)
Ho (0.0000, 0.5000, 0.5000)
In (0.5000, 0.0000, 0.5000)

M_tot in μB per atom: 0.075
Space-group type: Pmmm, No. 47
Crystal system: orthorhombic
DFT total energy in eV/atom: -4.4327



# 12
Material: CsMg2In4
Method: DFT, PBE-GGA
State: optimized geometry

a = 4.7310 Å, b = 4.8475 Å, c = 19.5622 Å
α = 90.00°, β = 90.00°, γ = 90.00°
Sites, in units of the cell vectors:
Cs (0.0000, 0.0000, 0.0000)
Cs (0.5000, 0.5000, 0.5000)
Mg (0.0000, 0.5000, 0.1822)
Mg (0.0000, 0.5000, 0.8178)
Mg (0.5000, 0.0000, 0.3178)
Mg (0.5000, 0.0000, 0.6822)
In (0.0000, 0.0000, 0.4186)
In (0.0000, 0.0000, 0.5814)
In (0.0000, 0.5000, 0.3300)
In (0.0000, 0.5000, 0.6700)
In (0.5000, 0.0000, 0.1700)
In (0.5000, 0.0000, 0.8300)
In (0.5000, 0.5000, 0.0814)
In (0.5000, 0.5000, 0.9186)

M_tot in μB per atom: 0.000
Space-group type: Immm, No. 71
Crystal system: orthorhombic
DFT total energy in eV/atom: -2.0886



# 13
Material: SiTe
Method: DFT, PBE-GGA
State: optimized geometry

a = 6.7281 Å, b = 3.8910 Å, c = 8.7607 Å
α = 90.00°, β = 104.94°, γ = 90.00°
Sites, in units of the cell vectors:
Si (0.1985, 0.0000, 0.0896)
Si (0.3015, 0.5000, 0.9104)
Si (0.6985, 0.5000, 0.0896)
Si (0.8015, 0.0000, 0.9104)
Te (0.0892, 0.5000, 0.2655)
Te (0.4108, 0.0000, 0.7345)
Te (0.5892, 0.0000, 0.2655)
Te (0.9108, 0.5000, 0.7345)

M_tot in μB per atom: 0.000
Space-group type: C2/m, No. 12
Formation energy from raw total energies in kJ per mole of atoms: 3.6
Crystal system: monoclinic
DFT total energy in eV/atom: -4.2447



# 14
Material: Na3MgAs2O6
Method: DFT, PBE-GGA
State: optimized geometry

a = 5.6432 Å, b = 5.6432 Å, c = 6.1660 Å
α = 90.00°, β = 90.00°, γ = 120.00°
Sites, in units of the cell vectors:
Na (0.0000, 0.0000, 0.0000)
Na (0.3333, 0.6667, 0.6486)
Na (0.6667, 0.3333, 0.3514)
Mg (0.0000, 0.0000, 0.5000)
As (0.3333, 0.6667, 0.1743)
As (0.6667, 0.3333, 0.8257)
O (0.1705, 0.3411, 0.2938)
O (0.1705, 0.8295, 0.2938)
O (0.3411, 0.1705, 0.7062)
O (0.6589, 0.8295, 0.2938)
O (0.8295, 0.1705, 0.7062)
O (0.8295, 0.6589, 0.7062)

M_tot in μB per atom: 0.087
Space-group type: P-3m1, No. 164
Formation energy from raw total energies in kJ per mole of atoms: -157.5
Crystal system: trigonal
DFT total energy in eV/atom: -5.3489



DOS(E_F) readings, ordered: 1.127, 0.576, 0.396, 0.790, 1.358, 0.389, 1.080, 0.670, 0.680, 0.524, 1.546, 0.744, 0.062, 0.209 states/eV per atom